Entry from Alexandria: a relaxed La3GeMo crystal (PBE-GGA).

The structure in extended XYZ format:
```
5
Lattice="-3.719 -3.443 -1.872 3.918 -3.321 -1.678 -0.081 -2.512 4.783" Properties=species:S:1:pos:R:3 pbc="T T T"
Mo 0.000 0.000 0.000
Ge 0.059 -4.638 0.617
La 1.959 -1.660 -0.839
La -0.041 -1.256 2.391
La -1.860 -1.722 -0.936
```

relative energy among the computed polymorphs = 0 meV/atom
symmetry = Pm-3m


Entry from Alexandria: a relaxed TaIr3Os crystal (PBE-GGA).

The structure in extended XYZ format:
```
5
Lattice="-4.342 1.623 0.791 -1.680 -4.386 -0.224 0.660 -0.489 4.630" Properties=species:S:1:pos:R:3 pbc="T T T"
Ir -0.840 -2.193 -0.112
Ir 0.330 -0.245 2.315
Ir -2.171 0.811 0.395
Os -2.681 -1.626 2.598
Ta 0.000 0.000 0.000
```

relative energy among the computed polymorphs = 282 meV/atom
symmetry = Pm-3m


Entry from Alexandria: a relaxed Na2BeTcAg crystal (PBE-GGA).

The structure in extended XYZ format:
```
5
Lattice="5.626 0.000 0.000 0.000 4.211 0.000 0.000 0.000 5.626" Properties=species:S:1:pos:R:3 pbc="T T T"
Na 0.000 0.000 2.813
Na 2.813 0.000 0.000
Tc 0.000 0.000 0.000
Ag 2.813 2.105 2.813
Be 0.000 2.105 0.000
```

symmetry = P4/mmm


Number 1: DFT formation energy 105.2 meV/atom, DOS(E_F) 4.2 states/eV per cell, spin magnetization 0.00 μB/atom. Number 2: DFT formation energy 2138.8 meV/atom, DOS(E_F) 5.8 states/eV per cell, spin magnetization 0.56 μB/atom. Number 3: DFT formation energy 1235.3 meV/atom, DOS(E_F) 2.5 states/eV per cell, spin magnetization 0.50 μB/atom.